# 1
# La5Hg4I, relaxed, DFT PBE
data_La5Hg4I
_symmetry_space_group_name_H-M 'P 4/m m m'
_symmetry_Int_Tables_number 123
_symmetry_space_group_name_Hall '-P 4 2'
_cell_length_a 3.903
_cell_length_b 3.903
_cell_length_c 19.873
_cell_angle_alpha 90.00
_cell_angle_beta 90.00
_cell_angle_gamma 90.00
loop_
_atom_site_label
_atom_site_fract_x
_atom_site_fract_y
_atom_site_fract_z
La1 0.000 0.000 0.000
La2 0.000 0.000 0.197
La3 0.000 0.000 0.392
Hg1 0.500 0.500 0.100
Hg2 0.500 0.500 0.294
I1 0.500 0.500 0.500
# ΔE_f (raw)	-0.579	eV/atom

# 2
# Be2CoHIr, relaxed, DFT PBE
data_Be2CoHIr
_symmetry_space_group_name_H-M 'P 4/m m m'
_symmetry_Int_Tables_number 123
_symmetry_space_group_name_Hall '-P 4 2'
_cell_length_a 3.797
_cell_length_b 3.797
_cell_length_c 2.978
_cell_angle_alpha 90.00
_cell_angle_beta 90.00
_cell_angle_gamma 90.00
loop_
_atom_site_label
_atom_site_fract_x
_atom_site_fract_y
_atom_site_fract_z
Be1 0.000 0.500 0.000
Co1 0.000 0.000 0.500
H1 0.000 0.000 0.000
Ir1 0.500 0.500 0.500
# total energy	-28.0	eV/f.u.